Mn2Cd2CuO6 after structural relaxation, computed with GGA+U.

Calculated values
Its crystal system is monoclinic. As for the space group: C2/m (12). The value obtained for the total energy is -5.7181 eV/atom. As for the volume: 12.6 Å³ per atom.

Cell lengths 5.2785, 5.2785, 5.8107 Å; angles 102.42, 102.42, 112.19 degrees
Site moments in Bohr magnetons follow the coordinates.
Fractional positions:
O1 0.9868 0.6351 0.2858  0.07
Mn1 0.6614 0.3386 0.5000  3.89
Mn2 0.3386 0.6614 0.5000  3.89
Cd1 0.1766 0.8234 0.0000  0.03
O2 0.6351 0.9868 0.2858  0.07
O3 0.7003 0.7003 0.7141  -0.02
Cd2 0.8234 0.1766 0.0000  0.03
O4 0.3649 0.0132 0.7142  0.07
O5 0.2997 0.2997 0.2859  -0.02
O6 0.0132 0.3649 0.7142  0.07
Cu1 0.0000 0.0000 0.5000  0.56